The following is a DFT calculation (PBE-GGA) of a relaxed structure of NpFeNiPt.

Cell and atoms, written as CIF:
```
data_NpFeNiPt
_chemical_formula_sum 'Np1 Fe1 Ni1 Pt1'
_space_group_name_H-M_alt 'P 1'
_space_group_IT_number 1
_cell_length_a 4.438
_cell_length_b 4.438
_cell_length_c 4.438
_cell_angle_alpha 60.00
_cell_angle_beta 60.00
_cell_angle_gamma 60.00
loop_
_space_group_symop_operation_xyz
'x,y,z'
loop_
_atom_site_label
_atom_site_type_symbol
_atom_site_fract_x
_atom_site_fract_y
_atom_site_fract_z
_atom_site_occupancy
Np1 Np 0.250 0.250 0.250 1
Ni1 Ni 0.000 0.000 0.000 1
Fe1 Fe 0.500 0.500 0.500 1
Pt1 Pt 0.750 0.750 0.750 1
```

- formation energy (eV per atom) = -0.14
- calculated volume (A^3/atom) = 15.4